Record 1
LaErCdGa after structural relaxation, computed with GGA-PBE.

* electronic total energy: -3.82 eV/atom
* SG: P4mm
* polymorph energy (0 for the lowest one): 0.00 kJ/mol of atoms
* energy relative to the elements: -0.46 eV/atom
* calculated density: 7.78 g/cm³
* calculated volume: 26.052 A^3/atom

a b c (Å): 3.6701 3.6701 7.7364
angles (deg): 90.00 90.00 90.00
Sites, in units of the cell vectors:
Ga1 0.0000 0.0000 0.3802
La1 0.5000 0.5000 0.1270
Cd1 0.0000 0.0000 0.8303
Er1 0.5000 0.5000 0.5904

---

Record 2
ErLuCdGa after structural relaxation, computed with GGA-PBE.

* electronic total energy: -3.68 eV/atom
* SG: F-43m
* energy relative to the elements: -0.42 eV/atom
* calculated density: 9.27 g/cm³
* calculated volume: 23.476 A^3/atom

a b c (Å): 5.1019 5.1019 5.1019
angles (deg): 60.00 60.00 60.00
Sites, in units of the cell vectors:
Er1 0.7500 0.7500 0.7500
Cd1 0.0000 0.0000 0.0000
Lu1 0.2500 0.2500 0.2500
Ga1 0.5000 0.5000 0.5000

---

Record 3
ErMgCdGa after structural relaxation, computed with GGA-PBE.

* electronic total energy: -2.87 eV/atom
* SG: F-43m
* energy relative to the elements: -0.35 eV/atom
* calculated density: 7.09 g/cm³
* calculated volume: 21.875 A^3/atom

a b c (Å): 4.9832 4.9832 4.9832
angles (deg): 60.00 60.00 60.00
Sites, in units of the cell vectors:
Mg1 0.7500 0.7500 0.7500
Cd1 0.5000 0.5000 0.5000
Ga1 0.0000 0.0000 0.0000
Er1 0.2500 0.2500 0.2500

---

Record 4
NaErCdGa after structural relaxation, computed with GGA-PBE.

* electronic total energy: -2.66 eV/atom
* SG: F-43m
* energy relative to the elements: -0.21 eV/atom
* calculated density: 6.67 g/cm³
* calculated volume: 23.178 A^3/atom

a b c (Å): 5.0803 5.0803 5.0803
angles (deg): 60.00 60.00 60.00
Sites, in units of the cell vectors:
Er1 0.5000 0.5000 0.5000
Cd1 0.7500 0.7500 0.7500
Ga1 0.2500 0.2500 0.2500
Na1 0.0000 0.0000 0.0000

---

Record 5
Er2CdGa2Ni5 after structural relaxation, computed with GGA-PBE.

* electronic total energy: -4.84 eV/atom
* SG: P4/mbm
* energy relative to the elements: -0.34 eV/atom
* calculated density: 9.16 g/cm³
* calculated volume: 15.956 A^3/atom

a b c (Å): 3.5651 9.4610 9.4610
angles (deg): 90.00 90.00 90.00
Sites, in units of the cell vectors:
Ga1 0.0000 0.8829 0.3829
Ga2 0.0000 0.6171 0.8829
Ga3 0.0000 0.3829 0.1171
Ga4 0.0000 0.1171 0.6171
Er1 0.0000 0.3206 0.8206
Er2 0.0000 0.8206 0.6794
Er3 0.0000 0.6794 0.1794
Er4 0.0000 0.1794 0.3206
Ni1 0.5000 0.5623 0.7175
Ni2 0.5000 0.4377 0.2825
Ni3 0.5000 0.9377 0.2175
Ni4 0.5000 0.7175 0.4377
Ni5 0.5000 0.2825 0.5623
Ni6 0.5000 0.7825 0.9377
Ni7 0.5000 0.2175 0.0623
Ni8 0.5000 0.5000 0.0000
Ni9 0.5000 0.0623 0.7825
Ni10 0.5000 0.0000 0.5000
Cd1 0.0000 0.5000 0.5000
Cd2 0.0000 0.0000 0.0000

---

Record 6
ErCdGaO4 after structural relaxation, computed with GGA-PBE.

* electronic total energy: -6.22 eV/atom
* SG: Imma
* formation energy from raw total energies: -2.17 eV/atom
* calculated density: 7.31 g/cm³
* calculated volume: 13.408 A^3/atom

a b c (Å): 6.2476 6.4281 6.4281
angles (deg): 61.95 60.92 60.92
Sites, in units of the cell vectors:
Ga1 0.6301 0.6199 0.1199
Ga2 0.3699 0.3801 0.8801
O1 0.7611 0.7416 0.2416
O2 0.2480 0.2673 0.2367
O3 0.2389 0.2584 0.7584
O4 0.7520 0.7327 0.7633
O5 0.7520 0.2633 0.2327
O6 0.7442 0.2584 0.7584
O7 0.2480 0.7367 0.7673
O8 0.2558 0.7416 0.2416
Er1 0.0000 0.5000 0.5000
Er2 0.0000 0.0000 0.0000
Cd1 0.5000 0.0000 0.5000
Cd2 0.0000 0.0000 0.5000

---

Record 7
ErPaCdGa after structural relaxation, computed with GGA-PBE.

* electronic total energy: -4.59 eV/atom
* SG: F-43m
* energy relative to the elements: -0.09 eV/atom
* calculated density: 9.98 g/cm³
* calculated volume: 24.140 A^3/atom

a b c (Å): 5.1495 5.1495 5.1495
angles (deg): 60.00 60.00 60.00
Each line ends with the local moment (μB).
Sites, in units of the cell vectors:
Ga1 0.7500 0.7500 0.7500  0.01
Cd1 0.2500 0.2500 0.2500  0.01
Pa1 0.0000 0.0000 0.0000  0.75
Er1 0.5000 0.5000 0.5000  0.07

---

Record 8
Er2CdGa2Pd5 after structural relaxation, computed with GGA-PBE.

* electronic total energy: -4.92 eV/atom
* SG: P4/mbm
* energy relative to the elements: -0.71 eV/atom
* calculated density: 10.17 g/cm³
* calculated volume: 18.254 A^3/atom

a b c (Å): 3.7977 9.8047 9.8047
angles (deg): 90.00 90.00 90.00
Sites, in units of the cell vectors:
Ga1 0.0000 0.3779 0.1221
Ga2 0.0000 0.6221 0.8779
Ga3 0.0000 0.1221 0.6221
Ga4 0.0000 0.8779 0.3779
Pd1 0.5000 0.5667 0.7103
Pd2 0.5000 0.7897 0.9333
Pd3 0.5000 0.2103 0.0667
Pd4 0.5000 0.2897 0.5667
Pd5 0.5000 0.7103 0.4333
Pd6 0.5000 0.4333 0.2897
Pd7 0.5000 0.0000 0.5000
Pd8 0.5000 0.0667 0.7897
Pd9 0.5000 0.5000 0.0000
Pd10 0.5000 0.9333 0.2103
Cd1 0.0000 0.0000 0.0000
Cd2 0.0000 0.5000 0.5000
Er1 0.0000 0.1761 0.3239
Er2 0.0000 0.3239 0.8239
Er3 0.0000 0.6761 0.1761
Er4 0.0000 0.8239 0.6761

---

Record 9
ErCdGaPd after structural relaxation, computed with GGA-PBE.

* electronic total energy: -3.99 eV/atom
* SG: F-43m
* energy relative to the elements: -0.56 eV/atom
* calculated density: 9.66 g/cm³
* calculated volume: 19.591 A^3/atom

a b c (Å): 4.8033 4.8033 4.8033
angles (deg): 60.00 60.00 60.00
Sites, in units of the cell vectors:
Er1 0.5000 0.5000 0.5000
Cd1 0.0000 0.0000 0.0000
Ga1 0.2500 0.2500 0.2500
Pd1 0.7500 0.7500 0.7500

---

Record 10
PmErCdGa after structural relaxation, computed with GGA-PBE.

* electronic total energy: -3.77 eV/atom
* SG: P4mm
* polymorph energy (0 for the lowest one): 0.00 kJ/mol of atoms
* energy relative to the elements: -0.45 eV/atom
* calculated density: 8.18 g/cm³
* calculated volume: 25.075 A^3/atom

a b c (Å): 3.6453 3.6453 7.5484
angles (deg): 90.00 90.00 90.00
Sites, in units of the cell vectors:
Er1 0.0000 0.0000 0.3722
Ga1 0.5000 0.5000 0.5933
Cd1 0.5000 0.5000 0.1223
Pm1 0.0000 0.0000 0.8401

---

Record 11
PmErCdGa after structural relaxation, computed with GGA-PBE.

* electronic total energy: -3.75 eV/atom
* SG: F-43m
* polymorph energy (0 for the lowest one): 2.05 kJ/mol of atoms
* energy relative to the elements: -0.43 eV/atom
* calculated density: 8.15 g/cm³
* calculated volume: 25.193 A^3/atom

a b c (Å): 5.2234 5.2234 5.2234
angles (deg): 60.00 60.00 60.00
Sites, in units of the cell vectors:
Cd1 0.0000 0.0000 0.0000
Pm1 0.2500 0.2500 0.2500
Ga1 0.5000 0.5000 0.5000
Er1 0.7500 0.7500 0.7500

---

Record 12
ErCdGa2Pt2 after structural relaxation, computed with GGA-PBE.

* electronic total energy: -4.70 eV/atom
* SG: P-3m1
* energy relative to the elements: -0.76 eV/atom
* calculated density: 12.08 g/cm³
* calculated volume: 18.535 A^3/atom

a b c (Å): 4.4346 4.4346 6.5298
angles (deg): 90.00 90.00 120.00
Sites, in units of the cell vectors:
Pt1 0.3333 0.6667 0.2365
Pt2 0.6667 0.3333 0.7635
Cd1 0.0000 0.0000 0.0000
Er1 0.0000 0.0000 0.5000
Ga1 0.3333 0.6667 0.7717
Ga2 0.6667 0.3333 0.2283

---

Record 13
ErPuCdGa after structural relaxation, computed with GGA-PBE.

* electronic total energy: -5.96 eV/atom
* SG: F-43m
* energy relative to the elements: -0.25 eV/atom
* calculated density: 10.03 g/cm³
* calculated volume: 24.556 A^3/atom

a b c (Å): 5.1790 5.1790 5.1790
angles (deg): 60.00 60.00 60.00
Each line ends with the local moment (μB).
Sites, in units of the cell vectors:
Er1 0.0000 0.0000 0.0000  0.27
Pu1 0.5000 0.5000 0.5000  5.44
Cd1 0.7500 0.7500 0.7500  0.04
Ga1 0.2500 0.2500 0.2500  -0.05

---

Record 14
Er2CdGa2Rh5 after structural relaxation, computed with GGA-PBE.

* electronic total energy: -6.00 eV/atom
* SG: P4/mbm
* energy relative to the elements: -0.71 eV/atom
* calculated density: 10.60 g/cm³
* calculated volume: 17.249 A^3/atom

a b c (Å): 3.5905 9.8022 9.8022
angles (deg): 90.00 90.00 90.00
Sites, in units of the cell vectors:
Ga1 0.0000 0.1242 0.6242
Ga2 0.0000 0.3758 0.1242
Ga3 0.0000 0.6242 0.8758
Ga4 0.0000 0.8758 0.3758
Rh1 0.5000 0.7918 0.9298
Rh2 0.5000 0.9298 0.2082
Rh3 0.5000 0.2918 0.5702
Rh4 0.5000 0.0702 0.7918
Rh5 0.5000 0.4298 0.2918
Rh6 0.5000 0.7082 0.4298
Rh7 0.5000 0.2082 0.0702
Rh8 0.5000 0.0000 0.5000
Rh9 0.5000 0.5702 0.7082
Rh10 0.5000 0.5000 0.0000
Er1 0.0000 0.6742 0.1742
Er2 0.0000 0.8258 0.6742
Er3 0.0000 0.1742 0.3258
Er4 0.0000 0.3258 0.8258
Cd1 0.0000 0.5000 0.5000
Cd2 0.0000 0.0000 0.0000

---

Record 15
Er4CdGa2Ru after structural relaxation, computed with GGA-PBE.

* electronic total energy: -4.80 eV/atom
* SG: R-3m
* energy relative to the elements: -0.49 eV/atom
* calculated density: 9.55 g/cm³
* calculated volume: 22.209 A^3/atom

a b c (Å): 5.0142 5.0142 8.6584
angles (deg): 73.17 73.17 60.00
Sites, in units of the cell vectors:
Ga1 0.2552 0.2552 0.2345
Ga2 0.7448 0.7448 0.7655
Er1 0.3834 0.3834 0.8498
Er2 0.8691 0.8691 0.3927
Er3 0.1309 0.1309 0.6073
Er4 0.6166 0.6166 0.1502
Ru1 0.5000 0.5000 0.5000
Cd1 0.0000 0.0000 0.0000

---

Record 16
ErScCdGa after structural relaxation, computed with GGA-PBE.

* electronic total energy: -4.16 eV/atom
* SG: P4mm
* polymorph energy (0 for the lowest one): 0.00 kJ/mol of atoms
* energy relative to the elements: -0.45 eV/atom
* calculated density: 7.41 g/cm³
* calculated volume: 22.085 A^3/atom

a b c (Å): 3.5069 3.5069 7.1829
angles (deg): 90.00 90.00 90.00
Sites, in units of the cell vectors:
Er1 0.0000 0.0000 0.8403
Sc1 0.0000 0.0000 0.3725
Ga1 0.5000 0.5000 0.5906
Cd1 0.5000 0.5000 0.1246

---

Record 17
ErScCdGa after structural relaxation, computed with GGA-PBE.

* electronic total energy: -4.14 eV/atom
* SG: F-43m
* polymorph energy (0 for the lowest one): 2.43 kJ/mol of atoms
* energy relative to the elements: -0.43 eV/atom
* calculated density: 7.40 g/cm³
* calculated volume: 22.136 A^3/atom

a b c (Å): 5.0029 5.0029 5.0029
angles (deg): 60.00 60.00 60.00
Sites, in units of the cell vectors:
Cd1 0.0000 0.0000 0.0000
Ga1 0.5000 0.5000 0.5000
Er1 0.2500 0.2500 0.2500
Sc1 0.7500 0.7500 0.7500

---

Record 18
SmErCdGa after structural relaxation, computed with GGA-PBE.

* electronic total energy: -3.74 eV/atom
* SG: F-43m
* polymorph energy (0 for the lowest one): 1.97 kJ/mol of atoms
* energy relative to the elements: -0.43 eV/atom
* calculated density: 8.30 g/cm³
* calculated volume: 24.989 A^3/atom

a b c (Å): 5.2092 5.2092 5.2092
angles (deg): 60.00 60.00 60.00
Sites, in units of the cell vectors:
Ga1 0.5000 0.5000 0.5000
Cd1 0.0000 0.0000 0.0000
Sm1 0.2500 0.2500 0.2500
Er1 0.7500 0.7500 0.7500

---

Record 19
SmErCdGa after structural relaxation, computed with GGA-PBE.

* electronic total energy: -3.76 eV/atom
* SG: P4mm
* polymorph energy (0 for the lowest one): 0.00 kJ/mol of atoms
* energy relative to the elements: -0.45 eV/atom
* calculated density: 8.34 g/cm³
* calculated volume: 24.889 A^3/atom

a b c (Å): 3.6393 3.6393 7.5166
angles (deg): 90.00 90.00 90.00
Sites, in units of the cell vectors:
Er1 0.5000 0.5000 0.5918
Cd1 0.0000 0.0000 0.8439
Sm1 0.5000 0.5000 0.1236
Ga1 0.0000 0.0000 0.3686

---

Record 20
SrErCdGa after structural relaxation, computed with GGA-PBE.

* electronic total energy: -2.87 eV/atom
* SG: F-43m
* energy relative to the elements: -0.32 eV/atom
* calculated density: 6.66 g/cm³
* calculated volume: 27.260 A^3/atom

a b c (Å): 5.3625 5.3625 5.3625
angles (deg): 60.00 60.00 60.00
Sites, in units of the cell vectors:
Er1 0.5000 0.5000 0.5000
Sr1 0.0000 0.0000 0.0000
Ga1 0.2500 0.2500 0.2500
Cd1 0.7500 0.7500 0.7500